# PrDyAlCd | Alexandria | GGA-PBE | optimized geometry
data_PrDyAlCd
_cell_length_a 3.6633
_cell_length_b 3.6633
_cell_length_c 7.8344
_cell_angle_alpha 90.00
_cell_angle_beta 90.00
_cell_angle_gamma 90.00
_space_group_name_H-M_alt 'P 4 m m'
_space_group_IT_number 99
_space_group_name_Hall 'P 4 -2'
loop_
_atom_site_label
_atom_site_fract_x
_atom_site_fract_y
_atom_site_fract_z
Pr1 0.0000 0.0000 0.0000
Dy1 0.0000 0.0000 0.4746
Al1 0.5000 0.5000 0.2498
Cd1 0.5000 0.5000 0.7180
# Formation enthalpy at 0 K, eV per formula unit: -1.402
# E above lowest polymorph, eV per atom: 0.000
# DOS(E_F), states/eV per cell: 2.8